[1]
Density functional theory data (PBE-GGA) for an optimized crystal structure of Dy3ErSc2Se6.

a = 6.9300 Å, b = 6.9300 Å, c = 6.9620 Å
α = 99.52°, β = 99.52°, γ = 120.27°
With the nearest neighbours (Å) after each atom.
Fractional positions:
Dy 0.1627 0.8373 0.5000  6 Se 2.87-2.89
Dy 0.8373 0.1627 0.5000  6 Se 2.87-2.89
Dy 0.5000 0.5000 0.5000  6 Se 2.84-2.89
Er 0.0000 0.0000 0.0000  6 Se 2.82-2.84
Sc 0.3332 0.6668 0.0000  6 Se 2.76-2.77
Sc 0.6668 0.3332 0.0000  6 Se 2.76-2.77
Se 0.9200 0.5795 0.7600  2 Sc 2.77, 1 Er 2.84, 3 Dy 2.87-2.89
Se 0.7378 0.7378 0.2360  2 Sc 2.76, 1 Er 2.82, 3 Dy 2.84-2.88
Se 0.0800 0.4205 0.2400  2 Sc 2.77, 1 Er 2.84, 3 Dy 2.87-2.89
Se 0.5795 0.9200 0.7600  2 Sc 2.77, 1 Er 2.84, 3 Dy 2.87-2.89
Se 0.2622 0.2622 0.7640  2 Sc 2.76, 1 Er 2.82, 3 Dy 2.84-2.88
Se 0.4205 0.0800 0.2400  2 Sc 2.77, 1 Er 2.84, 3 Dy 2.87-2.89

Values from the calculation:
space group	No. 12
ΔE_f (raw)	-1.6834	eV per atom
uncorrected energy	-6.01	eV/atom

=====

[2]
Density functional theory data (PBE-GGA) for an optimized crystal structure of ZrTeP2.

a = 5.4735 Å, b = 5.4735 Å, c = 5.1380 Å
α = 60.06°, β = 60.06°, γ = 40.33°
With the nearest neighbours (Å) after each atom.
Fractional positions:
P 0.9244 0.9244 0.9640  1 P 2.24
P 0.7686 0.7686 0.7819  1 P 2.24, 1 Te 2.48
Te 0.5569 0.5569 0.3307  1 P 2.48
Zr 0.2502 0.2502 0.4233  5 P 2.71-3.01, 3 Te 2.93-2.96

Values from the calculation:
space group	No. 8
ΔE_f (raw)	-0.5159	eV per atom
uncorrected energy	-6.14	eV/atom
relative energy among the computed polymorphs	0.071	eV per atom

=====

[3]
Density functional theory data (PBE-GGA) for an optimized crystal structure of TiTc3.

a = 3.0744 Å, b = 4.3869 Å, c = 4.3870 Å
α = 90.00°, β = 90.00°, γ = 90.00°
With the nearest neighbours (Å) after each atom.
Fractional positions:
Tc 0.0000 0.5000 0.4167  8 Tc 2.68
Tc 0.5000 0.0000 0.4166  4 Ti 2.68, 4 Tc 2.68
Tc 0.5000 0.5000 0.9167  4 Tc 2.68, 4 Ti 2.68
Ti 0.0000 0.0000 0.9166  8 Tc 2.68

Values from the calculation:
space group	No. 123
uncorrected energy	-9.98	eV/atom

=====

[4]
Density functional theory data (PBE-GGA) for an optimized crystal structure of BaAl2PPb.

a = 5.0045 Å, b = 5.8208 Å, c = 5.0045 Å
α = 90.00°, β = 90.00°, γ = 90.00°
With the nearest neighbours (Å) after each atom.
Fractional positions:
Pb 0.0000 0.5000 0.0000  2 P 2.91
P 0.0000 0.0000 0.0000  4 Al 2.50
Ba 0.5000 0.5000 0.5000  4 Pb 3.54, 8 Al 3.84
Al 0.0000 0.0000 0.5000  2 P 2.50
Al 0.5000 0.0000 0.0000  2 P 2.50

Values from the calculation:
space group	No. 123
uncorrected energy	-3.62	eV/atom